[1]
A relaxed structure of Rb2TcF6. Source: the Open Quantum Materials Database, functional PBE.

abc: 8.2830 8.2830 8.2830
angles: 90.00 90.00 90.00
Last column: nearest neighbours and their distance in Å.
Space group Fm-3m (No. 225)
One atom of each set of equivalent atoms:
Rb (0.2500, 0.2500, 0.2500) x8  12 F 2.93
Tc (0.0000, 0.0000, 0.0000) x4  6 F 1.96
F (0.0000, 0.0000, 0.2363) x24  1 Tc 1.96

Properties
Relative energy among the computed polymorphs: 22 meV per atom
Magnetic moment: 12.00 μB/cell
Total energy: -184.2 eV per cell
Crystal system: cubic

[2]
A relaxed structure of Ir3Se2S4. Source: the Open Quantum Materials Database, functional PBE.

abc: 17.9305 3.6700 5.0018
angles: 90.00 93.62 90.00
Last column: nearest neighbours and their distance in Å.
Space group C2/m (No. 12)
One atom of each set of equivalent atoms:
Ir (0.0000, 0.0000, 0.0000) x2  4 S 2.39, 2 Se 2.50
Ir (0.1597, 0.5000, 0.5025) x4  4 S 2.32-2.43, 2 Se 2.46
Se (0.1236, 0.0000, 0.7945) x4  3 Ir 2.46-2.50
S (0.0426, 0.5000, 0.2744) x4  3 Ir 2.32-2.39
S (0.2153, 0.0000, 0.2788) x4  3 Ir 2.40-2.43

Properties
Magnetic moment: 0.00 μB/cell
Total energy: -105.7 eV per cell
Crystal system: monoclinic

[3]
A relaxed structure of GaCuReIr. Source: the Open Quantum Materials Database, functional PBE.

abc: 6.0986 6.0986 6.0986
angles: 90.00 90.00 90.00
Last column: nearest neighbours and their distance in Å.
Space group F-43m (No. 216)
One atom of each set of equivalent atoms:
Ga (0.0000, 0.0000, 0.0000) x4  4 Re 2.64, 4 Cu 2.64
Cu (0.2500, 0.2500, 0.2500) x4  4 Ga 2.64, 4 Ir 2.64
Re (0.2500, 0.2500, 0.7500) x4  4 Ir 2.64, 4 Ga 2.64
Ir (0.0000, 0.0000, 0.5000) x4  4 Cu 2.64, 4 Re 2.64

Properties
Relative energy among the computed polymorphs: 0 meV per atom
Magnetic moment: 0.02 μB/cell
Total energy: -109.2 eV per cell
Crystal system: cubic

[4]
A relaxed structure of SmSnIr. Source: the Open Quantum Materials Database, functional PBE.

abc: 8.3878 8.3878 3.2207
angles: 90.00 90.00 120.00
Last column: nearest neighbours and their distance in Å.
Space group P-62m (No. 189)
One atom of each set of equivalent atoms:
Sm (0.0000, 0.3030, 0.0000) x3  4 Sn 2.93-3.01, 2 Sm 3.22, 6 Ir 3.23-3.25
Sn (0.0000, 0.0000, 0.5000) x1  6 Sm 3.01, 3 Ir 3.04, 2 Sn 3.22
Sn (0.3333, 0.6667, 0.0000) x2  3 Sm 2.93, 6 Ir 3.13, 2 Sn 3.22
Ir (0.0000, 0.6372, 0.5000) x3  5 Sn 3.04-3.13, 2 Ir 3.22, 6 Sm 3.23-3.25

Properties
Magnetic moment: 0.00 μB/cell
Total energy: -54.0 eV per cell
Crystal system: hexagonal

[5]
A relaxed structure of HfTlCoW. Source: the Open Quantum Materials Database, functional PBE.

abc: 6.5445 6.5445 6.5445
angles: 90.00 90.00 90.00
Last column: nearest neighbours and their distance in Å.
Space group F-43m (No. 216)
One atom of each set of equivalent atoms:
Hf (0.0000, 0.0000, 0.0000) x4  4 W 2.83, 4 Co 2.83
Tl (0.0000, 0.0000, 0.5000) x4  4 Co 2.83, 4 W 2.83
Co (0.2500, 0.2500, 0.7500) x4  4 Hf 2.83, 4 Tl 2.83
W (0.2500, 0.2500, 0.2500) x4  4 Hf 2.83, 4 Tl 2.83

Properties
Relative energy among the computed polymorphs: 0 meV per atom
Magnetic moment: 7.90 μB/cell
Total energy: -120.0 eV per cell
Crystal system: cubic

[6]
A relaxed structure of ZnCdCoSn. Source: the Open Quantum Materials Database, functional PBE.

abc: 6.4763 6.4763 6.4763
angles: 90.00 90.00 90.00
Last column: nearest neighbours and their distance in Å.
Space group F-43m (No. 216)
One atom of each set of equivalent atoms:
Zn (0.0000, 0.0000, 0.0000) x4  4 Sn 2.80, 4 Cd 2.80
Cd (0.2500, 0.2500, 0.7500) x4  4 Co 2.80, 4 Zn 2.80
Co (0.0000, 0.0000, 0.5000) x4  4 Cd 2.80, 4 Sn 2.80
Sn (0.2500, 0.2500, 0.2500) x4  4 Co 2.80, 4 Zn 2.80

Properties
Relative energy among the computed polymorphs: 0 meV per atom
Magnetic moment: 0.48 μB/cell
Total energy: -48.5 eV per cell
Crystal system: cubic

Please write out number 2 again, unchanged.
A relaxed structure of Ir3Se2S4. Source: the Open Quantum Materials Database, functional PBE.

abc: 17.9305 3.6700 5.0018
angles: 90.00 93.62 90.00
Last column: nearest neighbours and their distance in Å.
Space group C2/m (No. 12)
One atom of each set of equivalent atoms:
Ir (0.0000, 0.0000, 0.0000) x2  4 S 2.39, 2 Se 2.50
Ir (0.1597, 0.5000, 0.5025) x4  4 S 2.32-2.43, 2 Se 2.46
Se (0.1236, 0.0000, 0.7945) x4  3 Ir 2.46-2.50
S (0.0426, 0.5000, 0.2744) x4  3 Ir 2.32-2.39
S (0.2153, 0.0000, 0.2788) x4  3 Ir 2.40-2.43

Properties
Magnetic moment: 0.00 μB/cell
Total energy: -105.7 eV per cell
Crystal system: monoclinic

> Which formula does entry 5 have?

HfTlCoW

What did the fourth record say?
A relaxed structure of SmSnIr. Source: the Open Quantum Materials Database, functional PBE.

abc: 8.3878 8.3878 3.2207
angles: 90.00 90.00 120.00
Last column: nearest neighbours and their distance in Å.
Space group P-62m (No. 189)
One atom of each set of equivalent atoms:
Sm (0.0000, 0.3030, 0.0000) x3  4 Sn 2.93-3.01, 2 Sm 3.22, 6 Ir 3.23-3.25
Sn (0.0000, 0.0000, 0.5000) x1  6 Sm 3.01, 3 Ir 3.04, 2 Sn 3.22
Sn (0.3333, 0.6667, 0.0000) x2  3 Sm 2.93, 6 Ir 3.13, 2 Sn 3.22
Ir (0.0000, 0.6372, 0.5000) x3  5 Sn 3.04-3.13, 2 Ir 3.22, 6 Sm 3.23-3.25

Properties
Magnetic moment: 0.00 μB/cell
Total energy: -54.0 eV per cell
Crystal system: hexagonal